No. 1
Compound: CaCeSc
Source: the Alexandria database
Functional: GGA-PBE
Structure: optimized geometry

Results
Energy of formation   0.5 eV/f.u.
Space-group type   P3m1, No. 156

Unit cell a=3.480 b=3.480 c=8.754 alpha=90.00 beta=90.00 gamma=120.00
Sites, in units of the cell vectors:
Sc (0.667, 0.333, 0.348)
Ca (0.000, 0.000, 0.008)
Ce (0.333, 0.667, 0.645)



No. 2
Compound: CaCe2Sc
Source: the Alexandria database
Functional: GGA-PBE
Structure: optimized geometry

Results
Energy of formation   1.0 eV/f.u.
Space-group type   R-3m, No. 166

Unit cell a=3.337 b=3.337 c=12.492 alpha=82.32 beta=82.32 gamma=60.00
Sites, in units of the cell vectors:
Sc (0.500, 0.500, 0.500)
Ca (0.000, 0.000, 0.000)
Ce (0.091, 0.091, 0.728)
Ce (0.909, 0.909, 0.272)



No. 3
Compound: CaCeSc4Se8
Source: the Alexandria database
Functional: GGA-PBE
Structure: optimized geometry

Results
ΔE_f (raw)   -1.649 eV per atom
Space-group type   R3m, No. 160

Unit cell a=8.102 b=8.102 c=8.308 alpha=60.81 beta=60.81 gamma=60.00
Sites, in units of the cell vectors:
Ca (0.370, 0.370, 0.889)
Ce (0.001, 0.001, 0.997)
Sc (0.627, 0.627, 0.119)
Sc (0.001, 0.497, 0.502)
Sc (0.497, 0.001, 0.502)
Sc (0.001, 0.001, 0.502)
Se (0.250, 0.783, 0.716)
Se (0.783, 0.250, 0.716)
Se (0.250, 0.250, 0.716)
Se (0.235, 0.235, 0.294)
Se (0.745, 0.236, 0.274)
Se (0.236, 0.745, 0.274)
Se (0.745, 0.745, 0.274)
Se (0.758, 0.758, 0.726)



No. 4
Compound: CaCeSe2
Source: the Alexandria database
Functional: GGA-PBE
Structure: optimized geometry

Results
ΔE_f (raw)   -1.863 eV per atom
Space-group type   R-3m, No. 166

Unit cell a=4.182 b=4.182 c=7.409 alpha=73.60 beta=73.60 gamma=60.00
Sites, in units of the cell vectors:
Ca (0.500, 0.500, 0.500)
Se (0.248, 0.248, 0.256)
Se (0.752, 0.752, 0.744)
Ce (0.000, 0.000, 0.000)



No. 5
Compound: Ca5CeSe6
Source: the Alexandria database
Functional: GGA-PBE
Structure: optimized geometry

Results
ΔE_f (raw)   -1.949 eV per atom
Space-group type   C2/m, No. 12

Unit cell a=7.315 b=7.313 c=7.312 alpha=59.99 beta=80.40 gamma=70.52
Sites, in units of the cell vectors:
Ca (0.500, 0.166, 0.667)
Ca (0.000, 0.333, 0.334)
Ca (0.500, 0.500, 0.000)
Ca (0.000, 0.667, 0.666)
Ca (0.500, 0.834, 0.333)
Se (0.749, 0.084, 0.335)
Se (0.251, 0.581, 0.335)
Se (0.251, 0.251, 0.000)
Se (0.749, 0.749, 0.000)
Se (0.749, 0.419, 0.665)
Se (0.251, 0.916, 0.665)
Ce (0.000, 0.000, 0.000)



No. 6
Compound: CaCe8Se12
Source: the Alexandria database
Functional: GGA-PBE
Structure: optimized geometry

Results
ΔE_f (raw)   -1.854 eV per atom
Space-group type   Cc, No. 9

Unit cell a=8.928 b=8.928 c=14.776 alpha=72.41 beta=72.41 gamma=89.99
Sites, in units of the cell vectors:
Ca (0.583, 0.458, 0.833)
Ca (0.458, 0.583, 0.333)
Ce (0.125, 0.250, 0.999)
Ce (0.791, 0.044, 0.917)
Ce (0.041, 0.416, 0.667)
Ce (0.375, 0.128, 0.750)
Ce (0.083, 0.710, 0.833)
Ce (0.791, 0.914, 0.667)
Ce (0.459, 0.708, 0.583)
Ce (0.250, 0.125, 0.499)
Ce (0.710, 0.083, 0.333)
Ce (0.044, 0.791, 0.417)
Ce (0.748, 0.375, 0.500)
Ce (0.128, 0.375, 0.250)
Ce (0.914, 0.791, 0.167)
Ce (0.375, 0.748, 0.000)
Ce (0.708, 0.459, 0.083)
Ce (0.416, 0.041, 0.167)
Se (0.734, 0.736, 0.884)
Se (0.448, 0.096, 0.951)
Se (0.718, 0.214, 0.716)
Se (0.099, 0.950, 0.950)
Se (0.067, 0.066, 0.717)
Se (0.883, 0.386, 0.883)
Se (0.432, 0.787, 0.782)
Se (0.284, 0.436, 0.784)
Se (0.398, 0.401, 0.550)
Se (0.116, 0.767, 0.616)
Se (0.766, 0.614, 0.618)
Se (0.386, 0.883, 0.383)
Se (0.736, 0.734, 0.384)
Se (0.551, 0.051, 0.550)
Se (0.096, 0.448, 0.451)
Se (0.950, 0.099, 0.450)
Se (0.066, 0.067, 0.217)
Se (0.787, 0.432, 0.282)
Se (0.436, 0.284, 0.284)
Se (0.051, 0.551, 0.050)
Se (0.401, 0.398, 0.050)
Se (0.767, 0.116, 0.116)
Se (0.214, 0.718, 0.216)
Se (0.614, 0.766, 0.118)



No. 7
Compound: CaCe4Se6
Source: the Alexandria database
Functional: GGA-PBE
Structure: optimized geometry

Results
ΔE_f (raw)   -1.710 eV per atom
Space-group type   R-3c, No. 167

Unit cell a=8.360 b=8.360 c=8.360 alpha=89.38 beta=89.38 gamma=90.62
Sites, in units of the cell vectors:
Ca (0.500, 0.500, 0.500)
Ca (0.000, 0.000, 0.000)
Ce (0.364, 0.136, 0.250)
Ce (0.864, 0.250, 0.364)
Ce (0.250, 0.636, 0.136)
Ce (0.250, 0.250, 0.750)
Ce (0.750, 0.750, 0.250)
Ce (0.750, 0.364, 0.864)
Ce (0.136, 0.750, 0.636)
Ce (0.636, 0.864, 0.750)
Se (0.681, 0.061, 0.086)
Se (0.086, 0.319, 0.061)
Se (0.586, 0.439, 0.181)
Se (0.939, 0.086, 0.681)
Se (0.561, 0.181, 0.586)
Se (0.181, 0.414, 0.439)
Se (0.819, 0.586, 0.561)
Se (0.439, 0.819, 0.414)
Se (0.061, 0.914, 0.319)
Se (0.414, 0.561, 0.819)
Se (0.914, 0.681, 0.939)
Se (0.319, 0.939, 0.914)



No. 8
Compound: CaCe3Se6
Source: the Alexandria database
Functional: GGA-PBE
Structure: optimized geometry

Results
ΔE_f (raw)   -1.761 eV per atom
Space-group type   R-3, No. 148

Unit cell a=8.590 b=8.590 c=8.590 alpha=90.95 beta=90.95 gamma=90.95
Sites, in units of the cell vectors:
Ca (0.000, 0.000, 0.000)
Ca (0.500, 0.500, 0.500)
Ce (0.433, 0.925, 0.752)
Ce (0.925, 0.752, 0.433)
Ce (0.248, 0.567, 0.075)
Ce (0.752, 0.433, 0.925)
Ce (0.075, 0.248, 0.567)
Ce (0.567, 0.075, 0.248)
Se (0.318, 0.906, 0.080)
Se (0.094, 0.920, 0.682)
Se (0.596, 0.820, 0.466)
Se (0.920, 0.682, 0.094)
Se (0.466, 0.596, 0.820)
Se (0.180, 0.534, 0.404)
Se (0.820, 0.466, 0.596)
Se (0.534, 0.404, 0.180)
Se (0.080, 0.318, 0.906)
Se (0.404, 0.180, 0.534)
Se (0.906, 0.080, 0.318)
Se (0.682, 0.094, 0.920)



No. 9
Compound: CaCeSe
Source: the Alexandria database
Functional: GGA-PBE
Structure: optimized geometry

Results
ΔE_f (raw)   -1.094 eV per atom
Space-group type   P2_1/m, No. 11

Unit cell a=4.390 b=7.740 c=9.525 alpha=84.52 beta=90.00 gamma=90.00
Sites, in units of the cell vectors:
Se (0.250, 0.608, 0.671)
Se (0.750, 0.892, 0.329)
Se (0.750, 0.392, 0.329)
Se (0.250, 0.108, 0.671)
Ce (0.250, 0.835, 0.943)
Ce (0.750, 0.665, 0.057)
Ce (0.750, 0.165, 0.057)
Ce (0.250, 0.335, 0.943)
Ca (0.250, 0.641, 0.355)
Ca (0.750, 0.859, 0.645)
Ca (0.750, 0.359, 0.645)
Ca (0.250, 0.141, 0.355)



No. 10
Compound: Ca2CeSe4
Source: the Alexandria database
Functional: GGA-PBE
Structure: optimized geometry

Results
ΔE_f (raw)   -1.768 eV per atom
Space-group type   Cmcm, No. 63

Unit cell a=4.053 b=7.223 c=13.781 alpha=90.00 beta=90.00 gamma=106.29
Sites, in units of the cell vectors:
Ca (0.129, 0.259, 0.434)
Ca (0.871, 0.741, 0.934)
Ca (0.129, 0.259, 0.066)
Ca (0.871, 0.741, 0.566)
Ce (0.622, 0.244, 0.750)
Ce (0.378, 0.756, 0.250)
Se (0.779, 0.558, 0.127)
Se (0.779, 0.558, 0.373)
Se (0.221, 0.442, 0.873)
Se (0.221, 0.442, 0.627)
Se (0.976, 0.953, 0.750)
Se (0.024, 0.047, 0.250)
Se (0.500, 0.000, 0.000)
Se (0.500, 0.000, 0.500)



No. 11
Compound: CaCe2Se4
Source: the Alexandria database
Functional: GGA-PBE
Structure: optimized geometry

Results
ΔE_f (raw)   -1.810 eV per atom
Space-group type   Cmcm, No. 63

Unit cell a=4.147 b=7.250 c=14.165 alpha=90.00 beta=90.00 gamma=106.62
Sites, in units of the cell vectors:
Ca (0.616, 0.232, 0.750)
Ca (0.384, 0.768, 0.250)
Ce (0.133, 0.265, 0.429)
Ce (0.867, 0.735, 0.929)
Ce (0.133, 0.265, 0.071)
Ce (0.867, 0.735, 0.571)
Se (0.775, 0.550, 0.121)
Se (0.775, 0.550, 0.379)
Se (0.225, 0.450, 0.879)
Se (0.225, 0.450, 0.621)
Se (0.967, 0.934, 0.750)
Se (0.033, 0.066, 0.250)
Se (0.500, 0.000, 0.000)
Se (0.500, 0.000, 0.500)



No. 12
Compound: CaCeSe2
Source: the Alexandria database
Functional: GGA-PBE
Structure: optimized geometry

Results
ΔE_f (raw)   -1.763 eV per atom
Space-group type   R3m, No. 160

Unit cell a=4.098 b=4.098 c=7.781 alpha=74.73 beta=74.73 gamma=60.00
Sites, in units of the cell vectors:
Ca (0.496, 0.496, 0.511)
Ce (0.669, 0.669, 0.993)
Se (0.085, 0.085, 0.746)
Se (0.250, 0.250, 0.250)



Spin magnetization per entry: 0.31; 0.40; 0.12; 0.34; 0.11; 0.48; 0.53; 0.20; 0.12; 0.02; 0.28; 0.36 μB per atom
VASP energy per entry: -4.577; -4.800; -6.016; -5.589; -5.020; -6.201; -5.950; -5.832; -4.901; -5.178; -5.782; -5.490 eV per atom